# PaV2MoO8 GGA+U optimized geometry
# Calculated volume = 15.14 A^3/atom
# Size of the total moment = 3.001 μB/f.u.
# Density of states at the Fermi level = 0.584 states/eV/atom
# ρ = 5.090 g/cm3
# Electronic total energy = -8.00 eV per atom
data_PaV2MoO8
_chemical_formula_sum 'Pa1 V2 Mo1 O8'
_cell_length_a 5.9780
_cell_length_b 5.9780
_cell_length_c 5.8694
_cell_angle_alpha 90.00
_cell_angle_beta 90.00
_cell_angle_gamma 120.00
_space_group_name_H-M_alt 'P -3 m 1'
_space_group_IT_number 164
_space_group_name_Hall '-P 3 2"'
loop_
_atom_site_label
_atom_site_type_symbol
_atom_site_fract_x
_atom_site_fract_y
_atom_site_fract_z
_atom_site_occupancy
Pa1 Pa 0.0000 0.0000 0.0000 1
V1 V 0.3333 0.6667 0.6582 1
Mo1 Mo 0.0000 0.0000 0.5000 1
O1 O 0.1625 0.3250 0.7507 1
O2 O 0.3333 0.6667 0.3798 1